Entry 1:
VASP calculation (PBE-GGA) on a geometry-optimized MnRe2Tc structure.

Cell lengths 5.0538, 5.0538, 5.0538 Å; angles 144.21, 129.79, 63.18 degrees
Element x y z (fractional)
Mn1 0.0000 0.0000 0.0000
Re1 0.2405 0.7405 0.5000
Re2 0.4948 0.4948 0.0000
Tc1 0.7541 0.2541 0.5000

Volume in Å³ per atom: 14.3
ΔE_f in meV/atom: 145
Energy above the most stable polymorph in this dataset in meV/atom: 73.2



Entry 2:
VASP calculation (PBE-GGA) on a geometry-optimized Mn5ReTc structure.

Cell lengths 7.6503, 4.6027, 9.8833 Å; angles 90.00, 90.00, 90.00 degrees
Element x y z (fractional)
Mn1 0.0453 0.2500 0.0835
Mn2 0.0732 0.5068 0.3126
Mn3 0.0732 0.9932 0.3126
Mn4 0.0909 0.7500 0.5206
Mn5 0.1931 0.7500 0.7418
Mn6 0.3069 0.2500 0.2418
Mn7 0.4091 0.2500 0.0206
Mn8 0.4268 0.0068 0.8126
Mn9 0.4268 0.4932 0.8126
Mn10 0.4547 0.7500 0.5835
Mn11 0.5453 0.2500 0.4165
Mn12 0.5732 0.5068 0.1874
Mn13 0.5732 0.9932 0.1874
Mn14 0.5909 0.7500 0.9794
Mn15 0.6931 0.7500 0.7582
Mn16 0.8069 0.2500 0.2582
Mn17 0.9091 0.2500 0.4794
Mn18 0.9268 0.0068 0.6874
Mn19 0.9268 0.4932 0.6874
Mn20 0.9547 0.7500 0.9165
Re1 0.1323 0.2500 0.8494
Re2 0.3677 0.7500 0.3494
Re3 0.6323 0.2500 0.6506
Re4 0.8677 0.7500 0.1506
Tc1 0.2468 0.2500 0.5669
Tc2 0.2532 0.7500 0.0669
Tc3 0.7468 0.2500 0.9331
Tc4 0.7532 0.7500 0.4331

Volume in Å³ per atom: 12.4
ΔE_f in meV/atom: 112



Entry 3:
VASP calculation (PBE-GGA) on a geometry-optimized MnRe2Tc structure.

Cell lengths 2.6636, 2.6636, 8.5374 Å; angles 90.00, 90.00, 108.81 degrees
Element x y z (fractional)
Mn1 0.0000 0.0000 0.0000
Re1 0.0000 0.0000 0.5015
Re2 0.5000 0.5000 0.2392
Tc1 0.5000 0.5000 0.7620

Volume in Å³ per atom: 14.3
ΔE_f in meV/atom: 213
Energy above the most stable polymorph in this dataset in meV/atom: 141.0



Number 2 is which compound?
Mn5ReTc



Which value of ΔE_f does entry 3 give?
213 meV/atom



Repeat the first record exactly.
VASP calculation (PBE-GGA) on a geometry-optimized MnRe2Tc structure.

Cell lengths 5.0538, 5.0538, 5.0538 Å; angles 144.21, 129.79, 63.18 degrees
Element x y z (fractional)
Mn1 0.0000 0.0000 0.0000
Re1 0.2405 0.7405 0.5000
Re2 0.4948 0.4948 0.0000
Tc1 0.7541 0.2541 0.5000

Volume in Å³ per atom: 14.3
ΔE_f in meV/atom: 145
Energy above the most stable polymorph in this dataset in meV/atom: 73.2